Arrangement i

Material: RbCaIr3
Method: DFT, GGA-PBE
State: optimized geometry

Structure (CIF):
```
data_RbCaIr3
_cell_length_a 5.135
_cell_length_b 5.135
_cell_length_c 5.135
_cell_angle_alpha 90.00
_cell_angle_beta 90.00
_cell_angle_gamma 90.00
_space_group_name_H-M_alt 'P 1'
_space_group_IT_number 1
loop_
_space_group_symop_operation_xyz
'x,y,z'
loop_
_atom_site_label
_atom_site_type_symbol
_atom_site_fract_x
_atom_site_fract_y
_atom_site_fract_z
Ca1 Ca 0.000 0.000 0.000
Ir1 Ir 0.000 0.500 0.000
Ir2 Ir 0.000 0.000 0.500
Ir3 Ir 0.500 0.000 0.000
Rb1 Rb 0.500 0.500 0.500
```

Space group: Pm-3m, No. 221
Calculated volume (Å³ per cell): 135.41
Mass density (g cm⁻³): 8.61
Fermi-level density of states (states/eV/atom): 1.573

Arrangement ii

Material: RbCaIr3
Method: DFT, GGA-PBE
State: optimized geometry

Structure (CIF):
```
data_RbCaIr3
_cell_length_a 4.944
_cell_length_b 4.944
_cell_length_c 4.944
_cell_angle_alpha 90.00
_cell_angle_beta 90.00
_cell_angle_gamma 90.00
_space_group_name_H-M_alt 'P 1'
_space_group_IT_number 1
loop_
_space_group_symop_operation_xyz
'x,y,z'
loop_
_atom_site_label
_atom_site_type_symbol
_atom_site_fract_x
_atom_site_fract_y
_atom_site_fract_z
Ca1 Ca 0.500 0.500 0.500
Ir1 Ir 0.000 0.500 0.000
Ir2 Ir 0.000 0.000 0.500
Ir3 Ir 0.500 0.000 0.000
Rb1 Rb 0.000 0.000 0.000
```

Space group: Pm-3m, No. 221
Calculated volume (Å³ per cell): 120.85
Mass density (g cm⁻³): 9.65
Fermi-level density of states (states/eV/atom): 1.215

Least stable = arrangement ii

Arrangement i

Material: RbCaTl2Ir
Method: DFT, GGA-PBE
State: optimized geometry

Structure (CIF):
```
data_RbCaTl2Ir
_cell_length_a 6.026
_cell_length_b 5.174
_cell_length_c 6.026
_cell_angle_alpha 90.00
_cell_angle_beta 90.00
_cell_angle_gamma 90.00
_space_group_name_H-M_alt 'P 1'
_space_group_IT_number 1
loop_
_space_group_symop_operation_xyz
'x,y,z'
loop_
_atom_site_label
_atom_site_type_symbol
_atom_site_fract_x
_atom_site_fract_y
_atom_site_fract_z
Tl1 Tl 0.000 0.000 0.500
Tl2 Tl 0.500 0.000 0.000
Ir1 Ir 0.000 0.500 0.000
Ca1 Ca 0.000 0.000 0.000
Rb1 Rb 0.500 0.500 0.500
```

Space group: P4/mmm, No. 123
Calculated volume (Å³ per cell): 187.89
Mass density (g cm⁻³): 6.42
Fermi-level density of states (states/eV/atom): 1.064

Arrangement ii

Material: RbCaTl2Ir
Method: DFT, GGA-PBE
State: optimized geometry

Structure (CIF):
```
data_RbCaTl2Ir
_cell_length_a 5.420
_cell_length_b 5.420
_cell_length_c 5.501
_cell_angle_alpha 90.00
_cell_angle_beta 90.00
_cell_angle_gamma 90.00
_space_group_name_H-M_alt 'P 1'
_space_group_IT_number 1
loop_
_space_group_symop_operation_xyz
'x,y,z'
loop_
_atom_site_label
_atom_site_type_symbol
_atom_site_fract_x
_atom_site_fract_y
_atom_site_fract_z
Tl1 Tl 0.000 0.500 0.000
Tl2 Tl 0.500 0.000 0.000
Ir1 Ir 0.000 0.000 0.000
Ca1 Ca 0.000 0.000 0.500
Rb1 Rb 0.500 0.500 0.500
```

Space group: P4/mmm, No. 123
Calculated volume (Å³ per cell): 161.62
Mass density (g cm⁻³): 7.46
Fermi-level density of states (states/eV/atom): 0.656

Least stable = arrangement i

Arrangement i

Material: Ca2ReIr
Method: DFT, GGA-PBE
State: optimized geometry

Structure (CIF):
```
data_Ca2ReIr
_cell_length_a 3.118
_cell_length_b 3.118
_cell_length_c 9.343
_cell_angle_alpha 90.00
_cell_angle_beta 90.00
_cell_angle_gamma 90.00
_space_group_name_H-M_alt 'P 1'
_space_group_IT_number 1
loop_
_space_group_symop_operation_xyz
'x,y,z'
loop_
_atom_site_label
_atom_site_type_symbol
_atom_site_fract_x
_atom_site_fract_y
_atom_site_fract_z
Re1 Re 0.500 0.500 0.698
Ca1 Ca 0.000 0.000 0.938
Ca2 Ca 0.500 0.500 0.317
Ir1 Ir 0.000 0.000 0.547
```

Space group: P4mm, No. 99
Calculated volume (Å³ per cell): 90.84
Mass density (g cm⁻³): 8.38
Fermi-level density of states (states/eV/atom): 0.474

Arrangement ii

Material: Ca2ReIr
Method: DFT, GGA-PBE
State: optimized geometry

Structure (CIF):
```
data_Ca2ReIr
_cell_length_a 5.721
_cell_length_b 5.721
_cell_length_c 5.721
_cell_angle_alpha 148.60
_cell_angle_beta 128.50
_cell_angle_gamma 61.57
_space_group_name_H-M_alt 'P 1'
_space_group_IT_number 1
loop_
_space_group_symop_operation_xyz
'x,y,z'
loop_
_atom_site_label
_atom_site_type_symbol
_atom_site_fract_x
_atom_site_fract_y
_atom_site_fract_z
Re1 Re 0.250 0.750 0.500
Ca1 Ca 0.986 0.986 0.000
Ca2 Ca 0.514 0.514 0.000
Ir1 Ir 0.750 0.250 0.500
```

Space group: Immm, No. 71
Calculated volume (Å³ per cell): 75.62
Mass density (g cm⁻³): 10.07
Fermi-level density of states (states/eV/atom): 0.764

Arrangement iii

Material: Ca2ReIr
Method: DFT, GGA-PBE
State: optimized geometry

Structure (CIF):
```
data_Ca2ReIr
_cell_length_a 10.325
_cell_length_b 10.325
_cell_length_c 7.683
_cell_angle_alpha 47.78
_cell_angle_beta 47.78
_cell_angle_gamma 90.00
_space_group_name_H-M_alt 'P 1'
_space_group_IT_number 1
loop_
_space_group_symop_operation_xyz
'x,y,z'
loop_
_atom_site_label
_atom_site_type_symbol
_atom_site_fract_x
_atom_site_fract_y
_atom_site_fract_z
Re1 Re 0.500 0.500 0.000
Re2 Re 0.250 0.750 0.500
Ca1 Ca 0.782 0.125 0.250
Ca2 Ca 0.968 0.625 0.250
Ca3 Ca 0.375 0.218 0.750
Ca4 Ca 0.875 0.032 0.750
Ir1 Ir 0.000 0.000 0.000
Ir2 Ir 0.750 0.250 0.500
```

Space group: I-42d, No. 122
Calculated volume (Å³ per cell): 255.05
Mass density (g cm⁻³): 5.97
Fermi-level density of states (states/eV/atom): 0.926

Least stable = arrangement iii

Arrangement i

Material: CaRe2Ir2
Method: DFT, GGA-PBE
State: optimized geometry

Structure (CIF):
```
data_CaRe2Ir2
_cell_length_a 7.829
_cell_length_b 7.829
_cell_length_c 2.750
_cell_angle_alpha 90.00
_cell_angle_beta 90.00
_cell_angle_gamma 90.00
_space_group_name_H-M_alt 'P 1'
_space_group_IT_number 1
loop_
_space_group_symop_operation_xyz
'x,y,z'
loop_
_atom_site_label
_atom_site_type_symbol
_atom_site_fract_x
_atom_site_fract_y
_atom_site_fract_z
Re1 Re 0.173 0.673 0.500
Re2 Re 0.673 0.827 0.500
Re3 Re 0.827 0.327 0.500
Re4 Re 0.327 0.173 0.500
Ca1 Ca 0.000 0.000 0.000
Ca2 Ca 0.500 0.500 0.000
Ir1 Ir 0.378 0.878 0.000
Ir2 Ir 0.878 0.622 0.000
Ir3 Ir 0.622 0.122 0.000
Ir4 Ir 0.122 0.378 0.000
```

Space group: P4/mbm, No. 127
Calculated volume (Å³ per cell): 168.57
Mass density (g cm⁻³): 15.70
Fermi-level density of states (states/eV/atom): 0.615

Arrangement ii

Material: CaRe2Ir2
Method: DFT, GGA-PBE
State: optimized geometry

Structure (CIF):
```
data_CaRe2Ir2
_cell_length_a 7.844
_cell_length_b 7.844
_cell_length_c 2.753
_cell_angle_alpha 90.00
_cell_angle_beta 90.00
_cell_angle_gamma 90.00
_space_group_name_H-M_alt 'P 1'
_space_group_IT_number 1
loop_
_space_group_symop_operation_xyz
'x,y,z'
loop_
_atom_site_label
_atom_site_type_symbol
_atom_site_fract_x
_atom_site_fract_y
_atom_site_fract_z
Re1 Re 0.381 0.881 0.000
Re2 Re 0.881 0.619 0.000
Re3 Re 0.619 0.119 0.000
Re4 Re 0.119 0.381 0.000
Ca1 Ca 0.000 0.000 0.000
Ca2 Ca 0.500 0.500 0.000
Ir1 Ir 0.171 0.671 0.500
Ir2 Ir 0.671 0.829 0.500
Ir3 Ir 0.829 0.329 0.500
Ir4 Ir 0.329 0.171 0.500
```

Space group: P4/mbm, No. 127
Calculated volume (Å³ per cell): 169.44
Mass density (g cm⁻³): 15.62
Fermi-level density of states (states/eV/atom): 0.721

Least stable = arrangement i

Arrangement i

Material: CaIr2Rh
Method: DFT, GGA-PBE
State: optimized geometry

Structure (CIF):
```
data_CaIr2Rh
_cell_length_a 4.991
_cell_length_b 4.991
_cell_length_c 4.968
_cell_angle_alpha 80.47
_cell_angle_beta 80.47
_cell_angle_gamma 32.66
_space_group_name_H-M_alt 'P 1'
_space_group_IT_number 1
loop_
_space_group_symop_operation_xyz
'x,y,z'
loop_
_atom_site_label
_atom_site_type_symbol
_atom_site_fract_x
_atom_site_fract_y
_atom_site_fract_z
Ca1 Ca 0.250 0.250 0.250
Ir1 Ir 0.010 0.010 0.970
Ir2 Ir 0.490 0.490 0.530
Rh1 Rh 0.750 0.750 0.750
```

Space group: C2/m, No. 12
Calculated volume (Å³ per cell): 65.79
Mass density (g cm⁻³): 13.31
Fermi-level density of states (states/eV/atom): 0.805

Arrangement ii

Material: CaIr2Rh
Method: DFT, GGA-PBE
State: optimized geometry

Structure (CIF):
```
data_CaIr2Rh
_cell_length_a 5.760
_cell_length_b 5.760
_cell_length_c 5.760
_cell_angle_alpha 151.44
_cell_angle_beta 131.62
_cell_angle_gamma 57.15
_space_group_name_H-M_alt 'P 1'
_space_group_IT_number 1
loop_
_space_group_symop_operation_xyz
'x,y,z'
loop_
_atom_site_label
_atom_site_type_symbol
_atom_site_fract_x
_atom_site_fract_y
_atom_site_fract_z
Ca1 Ca 0.250 0.750 0.500
Ir1 Ir 0.971 0.971 0.000
Ir2 Ir 0.752 0.252 0.500
Rh1 Rh 0.527 0.527 0.000
```

Space group: Imm2, No. 44
Calculated volume (Å³ per cell): 67.87
Mass density (g cm⁻³): 12.90
Fermi-level density of states (states/eV/atom): 1.183

Least stable = arrangement ii

Arrangement i

Material: CaIr2Rh
Method: DFT, GGA-PBE
State: optimized geometry

Structure (CIF):
```
data_CaIr2Rh
_cell_length_a 2.845
_cell_length_b 2.845
_cell_length_c 8.214
_cell_angle_alpha 90.00
_cell_angle_beta 90.00
_cell_angle_gamma 90.00
_space_group_name_H-M_alt 'P 1'
_space_group_IT_number 1
loop_
_space_group_symop_operation_xyz
'x,y,z'
loop_
_atom_site_label
_atom_site_type_symbol
_atom_site_fract_x
_atom_site_fract_y
_atom_site_fract_z
Ca1 Ca 0.500 0.500 0.750
Ir1 Ir 0.000 0.000 0.032
Ir2 Ir 0.000 0.000 0.468
Rh1 Rh 0.500 0.500 0.250
```

Space group: P4/mmm, No. 123
Calculated volume (Å³ per cell): 66.48
Mass density (g cm⁻³): 13.17
Fermi-level density of states (states/eV/atom): 1.333

Arrangement ii

Material: CaIr2Rh
Method: DFT, GGA-PBE
State: optimized geometry

Structure (CIF):
```
data_CaIr2Rh
_cell_length_a 4.957
_cell_length_b 4.957
_cell_length_c 2.806
_cell_angle_alpha 90.00
_cell_angle_beta 90.00
_cell_angle_gamma 110.92
_space_group_name_H-M_alt 'P 1'
_space_group_IT_number 1
loop_
_space_group_symop_operation_xyz
'x,y,z'
loop_
_atom_site_label
_atom_site_type_symbol
_atom_site_fract_x
_atom_site_fract_y
_atom_site_fract_z
Ca1 Ca 0.000 0.500 0.500
Ir1 Ir 0.000 0.000 0.000
Ir2 Ir 0.500 0.500 0.000
Rh1 Rh 0.500 0.000 0.500
```

Space group: Cmmm, No. 65
Calculated volume (Å³ per cell): 64.40
Mass density (g cm⁻³): 13.60
Fermi-level density of states (states/eV/atom): 0.833

Least stable = arrangement i